# Na2LiAs2, optimized geometry, DFT PBE-GGA
data_Na2LiAs2
_symmetry_space_group_name_H-M 'C 1 2/m 1'
_symmetry_Int_Tables_number 12
_symmetry_space_group_name_Hall '-C 2y'
_cell_length_a 11.122
_cell_length_b 4.402
_cell_length_c 10.334
_cell_angle_alpha 90.00
_cell_angle_beta 119.35
_cell_angle_gamma 90.00
loop_
_atom_site_label
_atom_site_fract_x
_atom_site_fract_y
_atom_site_fract_z
Na1 0.008 0.000 0.180
Na2 0.192 0.000 0.601
Li1 0.226 0.500 0.873
As1 0.011 0.500 0.389
As2 0.127 0.500 0.061
# **Relative energy among the computed polymorphs**: 0.00 eV per formula unit
# **Size of the total moment**: 0.000 μB/atom
# **ρ**: 3.05 g/cm3
# **Formation energy**: -0.448 eV/atom

# NaLiAs, optimized geometry, DFT PBE-GGA
data_NaLiAs
_symmetry_space_group_name_H-M 'P 3 m 1'
_symmetry_Int_Tables_number 156
_symmetry_space_group_name_Hall 'P 3 -2"'
_cell_length_a 4.5693
_cell_length_b 4.5693
_cell_length_c 3.2739
_cell_angle_alpha 90.00
_cell_angle_beta 90.00
_cell_angle_gamma 120.00
loop_
_atom_site_label
_atom_site_fract_x
_atom_site_fract_y
_atom_site_fract_z
Na1 0.0000 0.0000 0.0000
Li1 0.3333 0.6667 0.5030
As1 0.6667 0.3333 0.4988
# **Relative energy among the computed polymorphs**: 0.00 eV per formula unit
# **Size of the total moment**: 0.000 μB/atom
# **ρ**: 2.94 g/cm3
# **Formation energy**: -0.431 eV/atom

# NaLiAs2, optimized geometry, DFT PBE-GGA
data_NaLiAs2
_symmetry_space_group_name_H-M 'F m -3 m'
_symmetry_Int_Tables_number 225
_symmetry_space_group_name_Hall '-F 4 2 3'
_cell_length_a 6.714
_cell_length_b 6.714
_cell_length_c 6.714
_cell_angle_alpha 90.00
_cell_angle_beta 90.00
_cell_angle_gamma 90.00
loop_
_atom_site_label
_atom_site_fract_x
_atom_site_fract_y
_atom_site_fract_z
Na1 0.000 0.000 0.000
Li1 0.000 0.000 0.500
As1 0.250 0.250 0.250
# **Relative energy among the computed polymorphs**: 0.80 eV per formula unit
# **Size of the total moment**: 0.000 μB/atom
# **ρ**: 3.95 g/cm3
# **Formation energy**: -0.189 eV/atom